Entry 1:
# KPtSe2

KPtSe2 after structural relaxation (GGA-PBEsol, the Alexandria database).

Summary:
formation energy without anion corrections: -0.138 eV/atom

abc: 3.3581 3.3581 8.5237
angles: 90.00 90.00 90.00
Last column: nearest neighbours and their distance in Å.
Sites, in units of the cell vectors:
1 K 0.0000 0.0000 0.0000  5 Se 3.24-3.44, 4 K 3.36, 4 Pt 3.60
2 Pt 0.5000 0.5000 0.3175  4 Se 2.49
3 Se 0.0000 0.0000 0.4037  4 Pt 2.49
4 Se 0.5000 0.5000 0.7410  4 K 3.24, 4 Se 3.36, 1 Pt 3.61

Entry 2:
# Tc3Mo5

Tc3Mo5 after structural relaxation (GGA-PBEsol, the Alexandria database).

Summary:
E_form: 1.7 kcal/mol of atoms

abc: 5.3577 5.3577 4.3766
angles: 90.00 90.00 109.31
Last column: nearest neighbours and their distance in Å.
Sites, in units of the cell vectors:
1 Tc 0.0000 0.0000 0.0000  8 Mo 2.68-2.69
2 Tc 0.2459 0.7541 0.5000  8 Mo 2.66-2.70
3 Tc 0.7541 0.2459 0.5000  8 Mo 2.66-2.70
4 Mo 0.0000 0.5000 0.0000  2 Mo 2.68, 6 Tc 2.68
5 Mo 0.2533 0.2533 0.5000  6 Tc 2.66-2.70, 2 Mo 2.67
6 Mo 0.5000 0.0000 0.0000  2 Mo 2.68, 6 Tc 2.68
7 Mo 0.5000 0.5000 0.0000  8 Mo 2.67-2.68
8 Mo 0.7467 0.7467 0.5000  6 Tc 2.66-2.70, 2 Mo 2.67

Entry 3:
# TaMoW2

TaMoW2 after structural relaxation (GGA-PBEsol, the Alexandria database).

Summary:
E_form: 6.6 kcal/mol of atoms
energy relative to the lowest polymorph listed for this composition: 401 meV/atom

abc: 5.3343 5.3343 2.6623
angles: 90.00 90.00 120.29
Last column: nearest neighbours and their distance in Å.
Sites, in units of the cell vectors:
1 Ta 0.0000 0.0000 0.0000  2 Mo 2.66, 2 Ta 2.66
2 Mo 0.5000 0.5000 0.0000  2 Ta 2.66, 2 Mo 2.66
3 W 0.0000 0.5000 0.5000  4 W 2.66
4 W 0.5000 0.0000 0.5000  4 W 2.66

Entry 4:
# SbPPbI2

SbPPbI2 after structural relaxation (GGA-PBEsol, the Alexandria database).

Summary:
formation energy without anion corrections: 0.913 eV/atom

abc: 5.9949 5.9949 5.9781
angles: 90.00 90.00 90.00
Last column: nearest neighbours and their distance in Å.
Sites, in units of the cell vectors:
1 Sb 0.0000 0.0000 0.0000  2 Pb 2.99
2 P 0.5000 0.5000 0.0000  8 I 4.23, 4 Sb 4.24
3 Pb 0.0000 0.0000 0.5000  2 Sb 2.99, 4 I 3.00
4 I 0.0000 0.5000 0.5000  2 Pb 3.00
5 I 0.5000 0.0000 0.5000  2 Pb 3.00

Entry 5:
# KTlSe

KTlSe after structural relaxation (GGA-PBEsol, the Alexandria database).

Summary:
formation energy without anion corrections: -0.692 eV/atom
energy relative to the lowest polymorph listed for this composition: 0 meV/atom

abc: 4.3917 4.3917 5.9911
angles: 90.00 90.00 120.00
Last column: nearest neighbours and their distance in Å.
Sites, in units of the cell vectors:
1 K 0.0000 0.0000 0.0000  3 Se 3.16
2 Tl 0.6667 0.3333 0.4405  3 Se 2.93
3 Se 0.3333 0.6667 0.6854  3 Tl 2.93, 3 K 3.16

Entry 6:
# InBCl2

InBCl2 after structural relaxation (GGA-PBEsol, the Alexandria database).

Summary:
formation energy without anion corrections: 0.215 eV/atom

abc: 9.7148 9.7148 9.7148
angles: 19.08 19.08 19.08
Last column: nearest neighbours and their distance in Å.
Sites, in units of the cell vectors:
1 In 0.0000 0.0000 0.0000  6 In 3.22, 6 Cl 3.60
2 B 0.5000 0.5000 0.5000  2 Cl 1.68
3 Cl 0.4412 0.4412 0.4412  1 B 1.68
4 Cl 0.5588 0.5588 0.5588  1 B 1.68

Calculated calculated density in order - 6.774; 10.836; 16.363; 4.744; 5.350; 3.811 g/cm3